No. 1
A relaxed structure of Pu2Ga12Os. Source: Alexandria via LeMat-Bulk, functional PBE.

Computed properties:
total magnetic moment: 21.15 μB/cell
energy: -5.3003 eV/atom
crystal system: tetragonal

a = 6.0391 Å, b = 6.0391 Å, c = 15.7730 Å
α = 90.00°, β = 90.00°, γ = 90.00°
With the nearest neighbours (Å) after each atom.
Fractional coordinates of all 30 atoms:
Ga 0.5000 0.5000 0.6545  5 Ga 2.42-2.61
Ga 0.2499 0.2501 0.9110  2 Os 2.55-2.56, 3 Ga 2.68-2.81
Ga 0.2501 0.7501 0.9110  2 Os 2.55-2.56, 3 Ga 2.68-2.81
Ga 0.6689 0.8311 0.5699  4 Ga 2.60-2.89
Ga 0.1689 0.3311 0.4301  4 Ga 2.60-2.89
Ga 0.8311 0.6689 0.4301  4 Ga 2.60-2.89
Ga 0.2499 0.7499 0.0890  2 Os 2.55-2.56, 3 Ga 2.68-2.81
Ga 0.3311 0.8311 0.4301  4 Ga 2.60-2.89
Ga 0.0000 0.0000 0.1922  5 Ga 2.42-2.68
Ga 0.7501 0.2501 0.0890  2 Os 2.55-2.56, 3 Ga 2.68-2.81
Ga 0.0000 0.0000 0.3455  5 Ga 2.42-2.61
Ga 0.7499 0.7501 0.0890  2 Os 2.55-2.56, 3 Ga 2.68-2.81
Ga 0.5000 0.5000 0.3455  5 Ga 2.42-2.61
Ga 0.5000 0.5000 0.1922  5 Ga 2.42-2.68
Ga 0.2501 0.2499 0.0890  2 Os 2.55-2.56, 3 Ga 2.68-2.81
Ga 0.7501 0.7499 0.9110  2 Os 2.55-2.56, 3 Ga 2.68-2.81
Ga 0.5000 0.5000 0.8078  5 Ga 2.42-2.68
Ga 0.6689 0.1689 0.4301  4 Ga 2.60-2.89
Ga 0.7499 0.2499 0.9110  2 Os 2.55-2.56, 3 Ga 2.68-2.81
Ga 0.8311 0.3311 0.5699  4 Ga 2.60-2.89
Ga 0.0000 0.0000 0.6545  5 Ga 2.42-2.61
Ga 0.1689 0.6689 0.5699  4 Ga 2.60-2.89
Ga 0.3311 0.1689 0.5699  4 Ga 2.60-2.89
Ga 0.0000 0.0000 0.8078  5 Ga 2.42-2.68
Os 0.5000 0.0000 0.0000  8 Ga 2.55-2.56
Os 0.0000 0.5000 0.0000  8 Ga 2.55-2.56
Pu 0.0000 0.5000 0.2400  14 Ga 3.11-3.45
Pu 0.5000 0.0000 0.7600  14 Ga 3.11-3.45
Pu 0.5000 0.0000 0.2400  14 Ga 3.11-3.45
Pu 0.0000 0.5000 0.7600  14 Ga 3.11-3.45

No. 2
A relaxed structure of Pu3Ga9Os2. Source: Alexandria via LeMat-Bulk, functional PBE.

Computed properties:
total magnetic moment: 15.18 μB/cell
energy: -6.9252 eV/atom
crystal system: orthorhombic

a = 4.3527 Å, b = 8.0683 Å, c = 8.0683 Å
α = 71.91°, β = 74.35°, γ = 74.35°
With the nearest neighbours (Å) after each atom.
Fractional coordinates of all 14 atoms:
Pu 0.2999 0.7001 0.7001  2 Os 2.95, 10 Ga 3.12-3.29
Pu 0.7001 0.2999 0.2999  2 Os 2.95, 10 Ga 3.12-3.29
Pu 0.0000 0.0000 0.0000  12 Ga 3.12-3.15
Ga 0.3481 0.0154 0.2884  4 Ga 2.58-2.77, 1 Os 2.62
Ga 0.6519 0.7116 0.9846  4 Ga 2.58-2.77, 1 Os 2.62
Ga 0.8679 0.8508 0.4135  4 Ga 2.58-2.77, 2 Os 2.76
Ga 0.0000 0.5000 0.5000  4 Ga 2.63, 4 Os 2.71
Ga 0.3481 0.2884 0.0154  4 Ga 2.58-2.77, 1 Os 2.62
Ga 0.6519 0.9846 0.7116  4 Ga 2.58-2.77, 1 Os 2.62
Ga 0.1321 0.1492 0.5865  4 Ga 2.58-2.77, 2 Os 2.76
Ga 0.8679 0.4135 0.8508  4 Ga 2.58-2.77, 2 Os 2.76
Ga 0.1321 0.5865 0.1492  4 Ga 2.58-2.77, 2 Os 2.76
Os 0.5000 0.3295 0.6705  8 Ga 2.62-2.76
Os 0.5000 0.6705 0.3295  8 Ga 2.62-2.76

No. 3
A relaxed structure of PuGaOs. Source: Alexandria via LeMat-Bulk, functional PBE.

Computed properties:
total magnetic moment: 20.30 μB/cell
energy: -9.7537 eV/atom
crystal system: orthorhombic

a = 5.4030 Å, b = 5.4030 Å, c = 8.6346 Å
α = 90.00°, β = 90.00°, γ = 118.98°
With the nearest neighbours (Å) after each atom.
Fractional coordinates of all 12 atoms:
Os 0.6474 0.8301 0.0000  4 Os 2.62-2.87, 2 Ga 2.68
Os 0.1643 0.8357 0.0000  2 Ga 2.62, 4 Os 2.63-2.78
Os 0.1699 0.3526 0.0000  4 Os 2.62-2.87, 2 Ga 2.68
Os 0.8349 0.1651 0.5000  6 Ga 2.64-2.76
Ga 0.9974 0.0026 0.2437  4 Os 2.62-2.68, 2 Ga 2.76
Ga 0.3471 0.1674 0.5000  2 Os 2.64-2.76, 4 Ga 2.66-2.82
Ga 0.9974 0.0026 0.7563  4 Os 2.62-2.68, 2 Ga 2.76
Ga 0.8326 0.6529 0.5000  2 Os 2.64-2.76, 4 Ga 2.66-2.82
Pu 0.3369 0.6632 0.6844  5 Os 3.10-3.17, 7 Ga 3.13-3.22, 4 Pu 3.19-3.40
Pu 0.6677 0.3323 0.8276  2 Pu 2.98-3.32, 7 Os 3.05-3.23, 5 Ga 3.13-3.23
Pu 0.3369 0.6632 0.3156  5 Os 3.10-3.17, 7 Ga 3.13-3.22, 4 Pu 3.19-3.40
Pu 0.6677 0.3323 0.1724  2 Pu 2.98-3.32, 7 Os 3.05-3.23, 5 Ga 3.13-3.23

Look up the energy of the first one.
-5.3003 eV/atom